SmThRuCl, optimized geometry, DFT PBE; total moment = 0.00 μB/atom; uncorrected energy = -6.753 eV/atom; SG = R3m, No. 160
1.0
-2.929 -2.500 1.230
3.877 -1.031 0.495
0.677 5.426 6.002
Ru Sm Cl Th
1 1 1 1
Direct
0.310 0.553 0.879
0.500 0.148 0.664
0.972 0.384 0.370
0.095 0.946 0.056